i | The following is a PBE calculation of crystalline TmSnSb at its relaxed geometry, from OQMD via LeMat-Bulk.

Calculated values
**SG**: F-43m, No. 216
**Theoretical density**: 7.1 g/cm3
**V**: 31.8 Å³/atom

Geometry as POSCAR:
```
TmSnSb
1.0
-0.2344 0.9078 5.0428
-3.4872 -2.4175 2.8817
1.4812 -3.6115 3.3275
Sb Sn Tm
1 1 1
Direct
0.0000 0.0000 0.0000 Sb
0.2500 0.2500 0.2500 Sn
0.7500 0.7500 0.7500 Tm
```

ii | The following is a PBE calculation of crystalline TmSnSb at its relaxed geometry, from OQMD via LeMat-Bulk.

Calculated values
**SG**: F-43m, No. 216
**Theoretical density**: 7.2 g/cm3
**V**: 31.4 Å³/atom

Geometry as POSCAR:
```
TmSnSb
1.0
1.1170 -3.9587 3.0242
-3.6215 -2.0599 2.9506
-1.8415 -4.6374 -1.0809
Sb Sn Tm
1 1 1
Direct
0.2500 0.2500 0.2500 Sb
0.7500 0.7500 0.7500 Sn
0.0000 0.0000 0.0000 Tm
```

Best to worst by energy: ii, i.

i | The following is a PBE calculation of crystalline TaSbTe at its relaxed geometry, from OQMD via LeMat-Bulk.

Calculated values
**SG**: F-43m, No. 216
**Theoretical density**: 9.0 g/cm3
**V**: 26.5 Å³/atom

Geometry as POSCAR:
```
TaSbTe
1.0
0.0000 3.4143 3.4143
3.4143 0.0000 3.4143
3.4143 3.4143 0.0000
Sb Ta Te
1 1 1
Direct
0.2500 0.2500 0.2500 Sb
0.0000 0.0000 0.0000 Ta
0.7500 0.7500 0.7500 Te
```

ii | The following is a PBE calculation of crystalline TaSbTe at its relaxed geometry, from OQMD via LeMat-Bulk.

Calculated values
**SG**: F-43m, No. 216
**Theoretical density**: 9.0 g/cm3
**V**: 26.5 Å³/atom

Geometry as POSCAR:
```
TaSbTe
1.0
2.1190 -2.4030 3.6123
-2.0846 -0.1458 4.3528
-1.9281 -4.1210 1.6165
Sb Ta Te
1 1 1
Direct
0.2500 0.2500 0.2500 Sb
0.7500 0.7500 0.7500 Ta
0.0000 0.0000 0.0000 Te
```

Best to worst by energy: i, ii.

i | The following is a PBE calculation of crystalline TcSb2 at its relaxed geometry, from OQMD via LeMat-Bulk.

Calculated values
**SG**: Fd-3m, No. 227
**Theoretical density**: 3.1 g/cm3
**V**: 61.8 Å³/atom

Geometry as POSCAR:
```
TcSb2
1.0
-0.6067 -2.9918 7.4631
6.0406 -4.3460 3.1047
4.5177 3.0455 5.9440
Sb Tc
4 2
Direct
0.0000 0.0000 0.0000 Sb
0.5000 0.0000 0.0000 Sb
0.0000 0.5000 0.0000 Sb
0.0000 0.0000 0.5000 Sb
0.1250 0.1250 0.1250 Tc
0.8750 0.8750 0.8750 Tc
```

ii | The following is a PBE calculation of crystalline TcSb2 at its relaxed geometry, from OQMD via LeMat-Bulk.

Calculated values
**SG**: P6_3mc, No. 186
**Theoretical density**: 7.9 g/cm3
**V**: 23.8 Å³/atom

Geometry as POSCAR:
```
TcSb2
1.0
-0.3092 4.3230 0.7360
-3.1909 -2.6965 1.3686
4.0270 -0.9813 7.4553
Sb Tc
4 2
Direct
0.0000 0.0000 0.1004 Sb
0.3333 0.6667 0.3623 Sb
0.0000 0.0000 0.6004 Sb
0.6667 0.3333 0.8623 Sb
0.3333 0.6667 0.0374 Tc
0.6667 0.3333 0.5374 Tc
```

iii | The following is a PBE calculation of crystalline TcSb2 at its relaxed geometry, from OQMD via LeMat-Bulk.

Calculated values
**SG**: Fd-3m, No. 227
**Theoretical density**: 7.5 g/cm3
**V**: 25.1 Å³/atom

Geometry as POSCAR:
```
TcSb2
1.0
0.0000 4.2202 4.2202
4.2202 0.0000 4.2202
4.2202 4.2202 0.0000
Sb Tc
4 2
Direct
0.6250 0.6250 0.1250 Sb
0.6250 0.1250 0.6250 Sb
0.1250 0.6250 0.6250 Sb
0.6250 0.6250 0.6250 Sb
0.0000 0.0000 0.0000 Tc
0.2500 0.2500 0.2500 Tc
```

Best to worst by energy: ii, i, iii.

i | The following is a PBE calculation of crystalline TmTlSb at its relaxed geometry, from OQMD via LeMat-Bulk.

Calculated values
**SG**: F-43m, No. 216
**Theoretical density**: 8.7 g/cm3
**V**: 31.6 Å³/atom

Geometry as POSCAR:
```
TmTlSb
1.0
-3.1704 -2.3348 3.2706
-3.6447 -3.1315 -1.7633
0.3731 -5.0475 0.7637
Sb Tl Tm
1 1 1
Direct
0.2500 0.2500 0.2500 Sb
0.0000 0.0000 0.0000 Tl
0.7500 0.7500 0.7500 Tm
```

ii | The following is a PBE calculation of crystalline TmTlSb at its relaxed geometry, from OQMD via LeMat-Bulk.

Calculated values
**SG**: F-43m, No. 216
**Theoretical density**: 8.8 g/cm3
**V**: 31.3 Å³/atom

Geometry as POSCAR:
```
TmTlSb
1.0
2.5912 -1.1558 4.2412
0.7289 3.5504 3.5918
-2.4425 -0.3502 4.4664
Sb Tl Tm
1 1 1
Direct
0.2500 0.2500 0.2500 Sb
0.7500 0.7500 0.7500 Tl
0.0000 0.0000 0.0000 Tm
```

Best to worst by energy: ii, i.

i | The following is a PBE calculation of crystalline SbW at its relaxed geometry, from OQMD via LeMat-Bulk.

Calculated values
**SG**: Pmma, No. 51
**Theoretical density**: 11.6 g/cm3
**V**: 21.8 Å³/atom

Geometry as POSCAR:
```
SbW
1.0
-5.2535 0.3086 0.8619
0.0349 -4.0901 1.6769
1.2706 2.7782 6.7496
Sb W
4 4
Direct
0.7500 0.5000 0.1177 Sb
0.2500 0.0000 0.2575 Sb
0.7500 0.0000 0.7425 Sb
0.2500 0.5000 0.8823 Sb
0.7500 0.0000 0.3590 W
0.0000 0.5000 0.5000 W
0.5000 0.5000 0.5000 W
0.2500 0.0000 0.6410 W
```

ii | The following is a PBE calculation of crystalline SbW at its relaxed geometry, from OQMD via LeMat-Bulk.

Calculated values
**SG**: Fm-3m, No. 225
**Theoretical density**: 11.7 g/cm3
**V**: 21.6 Å³/atom

Geometry as POSCAR:
```
SbW
1.0
0.0000 2.7866 2.7866
2.7866 0.0000 2.7866
2.7866 2.7866 0.0000
Sb W
1 1
Direct
0.0000 0.0000 0.0000 Sb
0.5000 0.5000 0.5000 W
```

Best to worst by energy: i, ii.

i | The following is a PBE calculation of crystalline SbW2 at its relaxed geometry, from OQMD via LeMat-Bulk.

Calculated values
**SG**: Fd-3m, No. 227
**Theoretical density**: 3.3 g/cm3
**V**: 83.3 Å³/atom

Geometry as POSCAR:
```
SbW2
1.0
-0.9046 7.6831 4.4189
4.2738 1.2285 7.7202
6.8255 5.7081 0.4540
Sb W
2 4
Direct
0.2500 0.2500 0.2500 Sb
0.5000 0.5000 0.5000 Sb
0.3750 0.3750 0.3750 W
0.8750 0.3750 0.3750 W
0.3750 0.8750 0.3750 W
0.3750 0.3750 0.8750 W
```

ii | The following is a PBE calculation of crystalline SbW2 at its relaxed geometry, from OQMD via LeMat-Bulk.

Calculated values
**SG**: Fd-3m, No. 227
**Theoretical density**: 14.3 g/cm3
**V**: 18.9 Å³/atom

Geometry as POSCAR:
```
SbW2
1.0
0.0000 3.8412 3.8412
3.8412 0.0000 3.8412
3.8412 3.8412 0.0000
Sb W
2 4
Direct
0.0000 0.0000 0.0000 Sb
0.2500 0.2500 0.2500 Sb
0.6250 0.6250 0.1250 W
0.6250 0.1250 0.6250 W
0.1250 0.6250 0.6250 W
0.6250 0.6250 0.6250 W
```

Best to worst by energy: ii, i.

i | The following is a PBE calculation of crystalline Sc2SiTc2 at its relaxed geometry, from OQMD via LeMat-Bulk.

Calculated values
**SG**: I4/mmm, No. 139
**Theoretical density**: 6.1 g/cm3
**V**: 17.1 Å³/atom

Geometry as POSCAR:
```
Sc2SiTc2
1.0
-1.8198 1.8198 6.4444
1.8198 -1.8198 6.4444
1.8198 1.8198 -6.4444
Sc Si Tc
2 1 2
Direct
0.4067 0.4067 0.0000 Sc
0.5933 0.5933 0.0000 Sc
0.0000 0.0000 0.0000 Si
0.7500 0.2500 0.5000 Tc
0.2500 0.7500 0.5000 Tc
```

ii | The following is a PBE calculation of crystalline Sc2SiTc2 at its relaxed geometry, from OQMD via LeMat-Bulk.

Calculated values
**SG**: I4/mmm, No. 139
**Theoretical density**: 5.5 g/cm3
**V**: 19.1 Å³/atom

Geometry as POSCAR:
```
Sc2SiTc2
1.0
1.2611 -4.3894 4.6974
-2.7346 -5.8788 0.9401
2.7263 3.9457 -4.4633
Sc Si Tc
2 1 2
Direct
0.7500 0.2500 0.5000 Sc
0.2500 0.7500 0.5000 Sc
0.0000 0.0000 0.0000 Si
0.4047 0.4047 0.0000 Tc
0.5953 0.5953 0.0000 Tc
```

Best to worst by energy: i, ii.

i | The following is a PBE calculation of crystalline SmScSn at its relaxed geometry, from OQMD via LeMat-Bulk.

Calculated values
**SG**: P4/nmm, No. 129
**Theoretical density**: 6.3 g/cm3
**V**: 27.5 Å³/atom

Geometry as POSCAR:
```
SmScSn
1.0
4.4641 0.0000 0.0000
0.0000 4.4641 0.0000
0.0000 0.0000 8.2860
Sc Sm Sn
2 2 2
Direct
0.0000 0.0000 0.5000 Sc
0.5000 0.5000 0.5000 Sc
0.5000 0.0000 0.1526 Sm
0.0000 0.5000 0.8474 Sm
0.0000 0.5000 0.2452 Sn
0.5000 0.0000 0.7548 Sn
```

ii | The following is a PBE calculation of crystalline SmScSn at its relaxed geometry, from OQMD via LeMat-Bulk.

Calculated values
**SG**: F-43m, No. 216
**Theoretical density**: 5.5 g/cm3
**V**: 31.7 Å³/atom

Geometry as POSCAR:
```
SmScSn
1.0
0.0000 3.6221 3.6221
3.6221 0.0000 3.6221
3.6221 3.6221 0.0000
Sc Sm Sn
1 1 1
Direct
0.2500 0.2500 0.2500 Sc
0.0000 0.0000 0.0000 Sm
0.7500 0.7500 0.7500 Sn
```

Best to worst by energy: i, ii.